[1]
Here is a relaxed structure of ZrSb2Cl from Alexandria via LeMat-Bulk. Energies are from PBE.

calculated total energy = -0.195 hartree per atom
E above lowest polymorph = 0.0000 eV/atom
volume = 33.894 A^3/atom
magnetization = 0.000 μB per atom

abc: 5.659 5.659 7.878
angles: 79.90 79.90 33.13
Fractional coordinates of all 4 atoms:
Zr: 0.555 0.555 0.579
Sb: 0.972 0.972 0.916
Sb: 0.818 0.818 0.664
Cl: 0.154 0.154 0.341

=====

[2]
Here is a relaxed structure of Th3Sc4Sn4 from Alexandria via LeMat-Bulk. Energies are from PBE.

calculated total energy = -0.219 hartree per atom
volume = 28.991 A^3/atom
magnetization = 0.000 μB per atom

abc: 7.455 7.455 7.455
angles: 109.47 109.47 109.47
Fractional coordinates of all 11 atoms:
Sc: 0.247 0.000 0.000
Sc: 0.000 0.247 0.000
Sc: 0.753 0.753 0.753
Sc: 0.000 0.000 0.247
Th: 0.500 0.500 0.000
Th: 0.000 0.500 0.500
Th: 0.500 0.000 0.500
Sn: 0.391 0.391 0.391
Sn: 0.609 0.000 0.000
Sn: 0.000 0.609 0.000
Sn: 0.000 0.000 0.609

=====

[3]
Here is a relaxed structure of Na4Nb3O10 from Alexandria via LeMat-Bulk. Energies are from PBE.

calculated total energy = -0.265 hartree per atom
volume = 13.488 A^3/atom
magnetization = 0.049 μB per atom

abc: 4.010 4.010 14.540
angles: 97.93 97.93 90.00
Fractional coordinates of all 17 atoms:
Nb: 0.146 0.146 0.292
Nb: 0.000 0.000 0.000
Nb: 0.854 0.854 0.708
O: 0.500 0.000 0.000
O: 0.000 0.500 0.000
O: 0.861 0.361 0.721
O: 0.639 0.139 0.279
O: 0.931 0.931 0.861
O: 0.069 0.069 0.139
O: 0.139 0.639 0.279
O: 0.361 0.861 0.721
O: 0.211 0.211 0.422
O: 0.789 0.789 0.578
Na: 0.291 0.291 0.582
Na: 0.709 0.709 0.418
Na: 0.425 0.425 0.850
Na: 0.575 0.575 0.150

=====

[4]
Here is a relaxed structure of GdThBiTe from Alexandria via LeMat-Bulk. Energies are from PBE.

calculated total energy = -0.295 hartree per atom
volume = 29.199 A^3/atom
magnetization = 2.034 μB per atom

abc: 5.487 5.487 5.487
angles: 60.00 60.00 60.00
Fractional coordinates of all 4 atoms:
Bi: 0.750 0.750 0.750
Gd: 0.500 0.500 0.500
Te: 0.250 0.250 0.250
Th: 0.000 0.000 0.000

=====

[5]
Here is a relaxed structure of Tb4YSc4 from Alexandria via LeMat-Bulk. Energies are from PBE.

calculated total energy = -0.203 hartree per atom
volume = 28.483 A^3/atom
magnetization = 0.000 μB per atom

abc: 4.827 7.677 7.677
angles: 84.33 71.68 71.68
Fractional coordinates of all 9 atoms:
Tb: 0.329 0.671 0.671
Tb: 0.000 0.329 0.671
Tb: 0.000 0.671 0.329
Tb: 0.671 0.329 0.329
Sc: 0.667 0.000 0.666
Sc: 0.333 0.000 0.334
Sc: 0.667 0.666 0.000
Sc: 0.333 0.334 0.000
Y: 0.000 0.000 0.000

=====

[6]
Here is a relaxed structure of Y2PuUN4 from Alexandria via LeMat-Bulk. Energies are from PBE.

calculated total energy = -0.385 hartree per atom
volume = 14.747 A^3/atom
magnetization = 0.767 μB per atom

abc: 3.472 6.000 6.002
angles: 109.32 90.00 90.00
Fractional coordinates of all 8 atoms:
Y: 0.000 0.500 0.500
Y: 0.500 0.000 0.500
Pu: 0.000 0.000 0.000
U: 0.500 0.500 0.000
N: 0.500 0.742 0.764
N: 0.000 0.736 0.237
N: 0.000 0.264 0.763
N: 0.500 0.258 0.236

=====

[7]
Here is a relaxed structure of DyAlCu6 from Alexandria via LeMat-Bulk. Energies are from PBE.

calculated total energy = -0.153 hartree per atom
volume = 14.470 A^3/atom
magnetization = 0.000 μB per atom

abc: 4.874 4.874 4.874
angles: 90.00 90.00 90.00
Fractional coordinates of all 8 atoms:
Cu: 0.500 0.241 0.000
Cu: 0.000 0.500 0.759
Cu: 0.241 0.000 0.500
Cu: 0.000 0.500 0.241
Cu: 0.759 0.000 0.500
Cu: 0.500 0.759 0.000
Al: 0.000 0.000 0.000
Dy: 0.500 0.500 0.500

=====

[8]
Here is a relaxed structure of Ac2Ge3Pt2 from Alexandria via LeMat-Bulk. Energies are from PBE.

calculated total energy = -0.209 hartree per atom
E above lowest polymorph = 0.0000 eV/atom
volume = 22.900 A^3/atom
magnetization = 0.000 μB per atom

abc: 4.577 7.260 9.915
angles: 90.00 103.35 90.00
Fractional coordinates of all 14 atoms:
Ge: 0.225 0.750 0.451
Ge: 0.439 0.569 0.877
Ge: 0.561 0.431 0.123
Ge: 0.439 0.931 0.877
Ge: 0.561 0.069 0.123
Ge: 0.775 0.250 0.549
Pt: 0.307 0.450 0.613
Pt: 0.693 0.950 0.387
Pt: 0.693 0.550 0.387
Pt: 0.307 0.050 0.613
Ac: 0.158 0.250 0.316
Ac: 0.943 0.250 0.886
Ac: 0.057 0.750 0.114
Ac: 0.842 0.750 0.684

=====

[9]
Here is a relaxed structure of Nd4Dy19Th6 from Alexandria via LeMat-Bulk. Energies are from PBE.

calculated total energy = -0.176 hartree per atom
volume = 33.680 A^3/atom
magnetization = 0.000 μB per atom

abc: 10.826 10.826 10.826
angles: 109.47 109.47 109.47
Fractional coordinates of all 29 atoms:
Dy: 0.213 0.537 0.195
Dy: 0.735 0.000 0.735
Dy: 0.658 0.463 0.676
Dy: 0.195 0.213 0.537
Dy: 0.735 0.735 0.000
Dy: 0.676 0.658 0.463
Dy: 0.787 0.982 0.324
Dy: 0.265 0.000 0.265
Dy: 0.805 0.342 0.018
Dy: 0.000 0.000 0.000
Dy: 0.463 0.676 0.658
Dy: 0.324 0.787 0.982
Dy: 0.000 0.265 0.265
Dy: 0.982 0.324 0.787
Dy: 0.000 0.735 0.735
Dy: 0.537 0.195 0.213
Dy: 0.265 0.265 0.000
Dy: 0.018 0.805 0.342
Dy: 0.342 0.018 0.805
Th: 0.500 0.129 0.629
Th: 0.500 0.871 0.371
Th: 0.629 0.500 0.129
Th: 0.129 0.629 0.500
Th: 0.871 0.371 0.500
Th: 0.371 0.500 0.871
Nd: 0.000 0.642 0.000
Nd: 0.358 0.358 0.358
Nd: 0.642 0.000 0.000
Nd: 0.000 0.000 0.642

=====

[10]
Here is a relaxed structure of EuTlZnPb from Alexandria via LeMat-Bulk. Energies are from PBE.

calculated total energy = -0.168 hartree per atom
volume = 27.801 A^3/atom
magnetization = 1.747 μB per atom

abc: 5.398 5.398 5.398
angles: 60.00 60.00 60.00
Fractional coordinates of all 4 atoms:
Zn: 0.000 0.000 0.000
Tl: 0.500 0.500 0.500
Eu: 0.250 0.250 0.250
Pb: 0.750 0.750 0.750

=====

[11]
Here is a relaxed structure of Tl3Cd2Sn3 from Alexandria via LeMat-Bulk. Energies are from PBE.

calculated total energy = -0.094 hartree per atom
volume = 27.928 A^3/atom
magnetization = 0.000 μB per atom

abc: 5.348 5.448 8.537
angles: 108.61 107.59 90.00
Fractional coordinates of all 8 atoms:
Cd: 0.245 0.247 0.495
Cd: 0.755 0.753 0.505
Sn: 0.135 0.634 0.269
Sn: 0.865 0.366 0.731
Sn: 0.500 0.500 0.000
Tl: 0.631 0.132 0.264
Tl: 0.000 0.000 0.000
Tl: 0.369 0.868 0.736

=====

[12]
Here is a relaxed structure of DyW2C2 from Alexandria via LeMat-Bulk. Energies are from PBE.

calculated total energy = -0.359 hartree per atom
volume = 14.535 A^3/atom
magnetization = 0.000 μB per atom

abc: 5.685 5.685 5.820
angles: 112.46 112.46 102.58
Fractional coordinates of all 10 atoms:
C: 0.417 0.083 0.250
C: 0.833 0.667 0.250
C: 0.583 0.917 0.750
C: 0.167 0.333 0.750
Dy: 0.875 0.625 0.750
Dy: 0.125 0.375 0.250
W: 0.233 0.983 0.466
W: 0.483 0.733 0.966
W: 0.767 0.017 0.534
W: 0.517 0.267 0.034